Here is Li2MnFeB2O6 after structural relaxation from Alexandria via LeMat-Bulk. Energies are from PBE+U.

```
Li2MnFeB2O6
1.0
8.246 0.000 0.000
0.000 6.320 0.000
-4.122 0.000 7.143
Li Mn Fe B O
6 3 3 6 18
Cartesian
0.000 1.571 0.000
0.000 4.749 0.000
-0.617 1.584 4.895
-0.617 4.736 4.895
3.700 1.576 1.913
3.700 4.743 1.913
0.951 0.000 2.566
1.313 3.160 6.950
4.941 3.160 4.447
0.946 3.160 2.511
1.289 0.000 6.980
4.975 0.000 4.446
-1.730 0.000 7.014
-1.710 3.160 7.051
2.402 1.572 4.651
2.402 4.748 4.651
6.525 1.568 2.269
6.525 4.752 2.269
-0.485 1.607 2.902
-0.485 4.713 2.902
1.142 0.000 0.470
1.141 3.160 0.492
-1.621 0.000 5.623
-1.583 3.160 5.666
3.549 0.000 0.651
3.541 3.160 0.719
2.266 1.588 3.264
2.266 4.732 3.264
1.270 1.567 5.462
1.270 4.752 5.462
3.671 1.566 5.226
3.671 4.754 5.226
6.455 1.551 0.882
6.455 4.769 0.882
5.360 1.556 3.024
5.360 4.764 3.024
```

**Polymorph energy (0 for the lowest one)**: 1.0 meV/atom
**Crystal system**: monoclinic
**Density**: 3.24 g/cm3
**Calculated volume**: 10.34 A^3/atom
**Calculated total energy**: -7.11 eV per atom